1.
Density functional theory data (PBE) for a relaxed structure of Pr3ThGe4.

a = 4.2166 Å, b = 6.6045 Å, c = 16.3306 Å
α = 90.00°, β = 90.00°, γ = 90.00°
Closest atoms and distances in Å follow each position.
Sites, in units of the cell vectors:
Pr (0.0000, 0.0000, 0.0000)  8 Ge 3.25
Pr (0.0000, 0.5000, 0.1945)  6 Ge 3.11-3.12
Pr (0.0000, 0.5000, 0.8055)  6 Ge 3.11-3.12
Pr (0.5000, 0.0000, 0.3055)  6 Ge 3.11-3.12
Pr (0.5000, 0.0000, 0.6945)  6 Ge 3.11-3.12
Pr (0.5000, 0.5000, 0.5000)  8 Ge 3.25
Th (0.0000, 0.0000, 0.5000)  4 Ge 2.97
Th (0.5000, 0.5000, 0.0000)  4 Ge 2.97
Ge (0.0000, 0.3113, 0.3689)  1 Ge 2.49
Ge (0.0000, 0.3113, 0.6311)  1 Ge 2.49
Ge (0.0000, 0.6887, 0.3689)  1 Ge 2.49
Ge (0.0000, 0.6887, 0.6311)  1 Ge 2.49
Ge (0.5000, 0.1887, 0.1311)  1 Ge 2.49
Ge (0.5000, 0.1887, 0.8689)  1 Ge 2.49
Ge (0.5000, 0.8113, 0.1311)  1 Ge 2.49
Ge (0.5000, 0.8113, 0.8689)  1 Ge 2.49

## Properties
**Volume**: 227 Å³/f.u.
**Crystal system**: orthorhombic
**Formation energy**: -0.62 eV per atom
**Space group**: Immm

---

2.
Density functional theory data (PBE) for a relaxed structure of Mg3AsIr.

a = 4.9068 Å, b = 4.9068 Å, c = 4.9068 Å
α = 90.00°, β = 90.00°, γ = 90.00°
Closest atoms and distances in Å follow each position.
Sites, in units of the cell vectors:
Mg (0.0000, 0.0000, 0.5000)  2 Ir 2.45
Mg (0.0000, 0.5000, 0.0000)  2 Ir 2.45
Mg (0.5000, 0.0000, 0.0000)  2 Ir 2.45
As (0.5000, 0.5000, 0.5000)  12 Mg 3.47
Ir (0.0000, 0.0000, 0.0000)  6 Mg 2.45

## Properties
**Volume**: 118 Å³/f.u.
**Crystal system**: cubic
**Formation energy**: 0.15 eV per atom
**Space group**: Pm-3m

---

3.
Density functional theory data (PBE) for a relaxed structure of ScGaCuI2.

a = 5.9584 Å, b = 5.9584 Å, c = 4.5075 Å
α = 90.00°, β = 90.00°, γ = 90.00°
Closest atoms and distances in Å follow each position.
Sites, in units of the cell vectors:
Sc (0.0000, 0.0000, 0.0000)  8 I 3.74
Ga (0.5000, 0.5000, 0.5000)  2 Cu 2.25
Cu (0.5000, 0.5000, 0.0000)  2 Ga 2.25
I (0.0000, 0.5000, 0.5000)  2 Ga 2.98
I (0.5000, 0.0000, 0.5000)  2 Ga 2.98

## Properties
**Volume**: 160 Å³/f.u.
**Uncorrected formation energy**: 25.66 kJ/mol of atoms
**Crystal system**: tetragonal
**Space group**: P4/mmm